No. 1
# KGe3I GGA-PBEsol relaxed
# spin magnetization: 0.000 μB per atom
data_KGe3I
_chemical_formula_sum 'K1 Ge3 I1'
_symmetry_space_group_name_H-M 'P m -3 m'
_symmetry_Int_Tables_number 221
_symmetry_space_group_name_Hall '-P 4 2 3'
_cell_length_a 5.513
_cell_length_b 5.513
_cell_length_c 5.513
_cell_angle_alpha 90.00
_cell_angle_beta 90.00
_cell_angle_gamma 90.00
loop_
_atom_site_label
_atom_site_type_symbol
_atom_site_fract_x
_atom_site_fract_y
_atom_site_fract_z
_atom_site_occupancy
K1 K 0.000 0.000 0.000 1
Ge1 Ge 0.000 0.500 0.500 1
I1 I 0.500 0.500 0.500 1

No. 2
# KLa2GeI GGA-PBEsol relaxed
# spin magnetization: 0.000 μB per atom
data_KLa2GeI
_chemical_formula_sum 'K1 La2 Ge1 I1'
_symmetry_space_group_name_H-M 'P 4/m m m'
_symmetry_Int_Tables_number 123
_symmetry_space_group_name_Hall '-P 4 2'
_cell_length_a 5.716
_cell_length_b 5.716
_cell_length_c 5.072
_cell_angle_alpha 90.00
_cell_angle_beta 90.00
_cell_angle_gamma 90.00
loop_
_atom_site_label
_atom_site_type_symbol
_atom_site_fract_x
_atom_site_fract_y
_atom_site_fract_z
_atom_site_occupancy
K1 K 0.000 0.000 0.000 1
La1 La 0.000 0.500 0.000 1
Ge1 Ge 0.000 0.000 0.500 1
I1 I 0.500 0.500 0.500 1

No. 3
# K2GeIN GGA-PBEsol relaxed
# spin magnetization: 0.000 μB per atom
data_K2GeIN
_chemical_formula_sum 'K2 Ge1 I1 N1'
_symmetry_space_group_name_H-M 'P 4/m m m'
_symmetry_Int_Tables_number 123
_symmetry_space_group_name_Hall '-P 4 2'
_cell_length_a 5.903
_cell_length_b 5.903
_cell_length_c 3.919
_cell_angle_alpha 90.00
_cell_angle_beta 90.00
_cell_angle_gamma 90.00
loop_
_atom_site_label
_atom_site_type_symbol
_atom_site_fract_x
_atom_site_fract_y
_atom_site_fract_z
_atom_site_occupancy
K1 K 0.000 0.500 0.000 1
Ge1 Ge 0.000 0.000 0.500 1
I1 I 0.500 0.500 0.500 1
N1 N 0.000 0.000 0.000 1

No. 4
# KGeTe2I GGA-PBEsol relaxed
# spin magnetization: 0.001 μB per atom
data_KGeTe2I
_chemical_formula_sum 'K1 Ge1 Te2 I1'
_symmetry_space_group_name_H-M 'P 4/m m m'
_symmetry_Int_Tables_number 123
_symmetry_space_group_name_Hall '-P 4 2'
_cell_length_a 5.846
_cell_length_b 5.846
_cell_length_c 5.945
_cell_angle_alpha 90.00
_cell_angle_beta 90.00
_cell_angle_gamma 90.00
loop_
_atom_site_label
_atom_site_type_symbol
_atom_site_fract_x
_atom_site_fract_y
_atom_site_fract_z
_atom_site_occupancy
K1 K 0.000 0.000 0.000 1
Ge1 Ge 0.500 0.500 0.500 1
Te1 Te 0.000 0.500 0.000 1
I1 I 0.000 0.000 0.500 1

No. 5
# LaGeI GGA-PBEsol relaxed
# spin magnetization: 0.000 μB per atom
data_LaGeI
_chemical_formula_sum 'La2 Ge2 I2'
_symmetry_space_group_name_H-M 'P -3 m 1'
_symmetry_Int_Tables_number 164
_symmetry_space_group_name_Hall '-P 3 2"'
_cell_length_a 4.3507
_cell_length_b 4.3507
_cell_length_c 11.6190
_cell_angle_alpha 90.00
_cell_angle_beta 90.00
_cell_angle_gamma 120.00
loop_
_atom_site_label
_atom_site_type_symbol
_atom_site_fract_x
_atom_site_fract_y
_atom_site_fract_z
_atom_site_occupancy
La1 La 0.0000 0.0000 0.1743 1
Ge1 Ge 0.3333 0.6667 0.9899 1
I1 I 0.3333 0.6667 0.3526 1

No. 6
# LaGeI2O GGA-PBEsol relaxed
# spin magnetization: 0.001 μB per atom
data_LaGeI2O
_chemical_formula_sum 'La1 Ge1 I2 O1'
_symmetry_space_group_name_H-M 'P 4/m m m'
_symmetry_Int_Tables_number 123
_symmetry_space_group_name_Hall '-P 4 2'
_cell_length_a 5.855
_cell_length_b 5.855
_cell_length_c 3.822
_cell_angle_alpha 90.00
_cell_angle_beta 90.00
_cell_angle_gamma 90.00
loop_
_atom_site_label
_atom_site_type_symbol
_atom_site_fract_x
_atom_site_fract_y
_atom_site_fract_z
_atom_site_occupancy
La1 La 0.000 0.000 0.000 1
Ge1 Ge 0.500 0.500 0.500 1
I1 I 0.000 0.500 0.500 1
O1 O 0.500 0.500 0.000 1

Respective raw formation energy values: 0.7885 0.6989 -0.3435 0.8770 -1.1506 -0.7330 eV/atom.